Here is a crystal of YCu2Si relaxed with PBEsol from the Alexandria database. Energies are from SCAN.

Calculated values
**V**: 15.74 Å³ per atom
**Electronic total energy**: -17.1902 eV per atom

```
4
Lattice="-0.5710 2.2435 2.1284 -0.3955 -2.1980 2.2139 6.2079 0.2718 1.3789" Properties=species:S:1:pos:R:3 pbc="T T T"
Cu 5.8516 0.2562 1.2997
Cu 4.1547 0.2258 3.2013
Si 3.5037 0.1534 0.7782
Y 1.0433 0.0895 2.5102
```